Zr8C3N2 (PBE, optimized geometry); uncorrected formation energy = -95 kJ per mole of atoms; space-group type = C2/m (12)
1.0
5.512 -0.010 1.667
1.046 5.640 3.309
0.034 0.001 6.623
Zr C N
8 3 2
Direct
0.771 0.624 0.624
0.229 0.376 0.376
0.758 0.121 0.121
0.242 0.879 0.879
0.763 0.633 0.117
0.763 0.117 0.633
0.237 0.883 0.367
0.237 0.367 0.883
0.500 0.000 0.000
0.000 0.251 0.749
0.000 0.749 0.251
0.998 0.250 0.250
0.002 0.750 0.750